CaYOF2 | Alexandria via LeMat-Bulk | PBE | relaxed; D(E_F) = 2.29 states/eV per cell; density = 3.708 g cm⁻³; total moment = 0.77 μB per formula unit; polymorph energy (0 for the lowest one) = 324 meV/atom
1.0
4.2386 0.0000 0.0000
0.0000 4.2386 0.0000
0.0000 0.0000 4.5614
Ca Y O F
1 1 1 2
Direct
0.0000 0.0000 0.0000
0.5000 0.5000 0.5000
0.0000 0.0000 0.5000
0.0000 0.5000 0.0000
0.5000 0.0000 0.0000